The following is a PBEsol calculation of BeCdAg2 after structural relaxation, from the Alexandria database.

Cell lengths 3.0154, 4.5585, 5.1862 Å; angles 115.12, 106.90, 90.00 degrees
Positions (direct):
Be  0.0000  0.5000  0.0000
Ag  0.7132  0.7137  0.4265
Ag  0.2868  0.2863  0.5735
Cd  0.5000  0.0000  0.0000

uncorrected energy = -11.46 eV per cell
energy above the lowest structure with this stoichiometry = 0 meV/atom
formation enthalpy at 0 K = 0.0887 eV per atom